Density functional theory data (PBE) for a relaxed structure of FeAgHg.

Cell: 2.952 2.952 7.009 Å, 90.00 90.00 120.00°
Element x y z (fractional)
Fe 0.000 0.000 0.000
Ag 0.333 0.667 0.691
Hg 0.667 0.333 0.325

Output
* energy relative to the lowest polymorph listed for this composition: 47.1 meV/atom
* DOS(E_F): 0.839 states/eV/atom
* electronic total energy: -3.460 eV per atom
* ΔH_f (0 K): 0.412 eV per atom
* M_tot: 2.85 μB/cell

***

Density functional theory data (PBE) for a relaxed structure of Li2Cu2Br5.

Cell: 10.076 10.076 10.076 Å, 59.26 139.52 138.63°
Element x y z (fractional)
Li 0.034 0.124 0.159
Li 0.034 0.376 0.410
Li 0.966 0.624 0.590
Li 0.966 0.876 0.841
Cu 0.443 0.759 0.185
Cu 0.574 0.259 0.815
Cu 0.633 0.133 0.500
Cu 0.633 0.633 0.000
Br 0.049 0.407 0.141
Br 0.134 0.426 0.781
Br 0.134 0.854 0.208
Br 0.266 0.907 0.859
Br 0.521 0.284 0.525
Br 0.521 0.496 0.737
Br 0.645 0.354 0.219
Br 0.645 0.926 0.792
Br 0.759 0.784 0.263
Br 0.759 0.996 0.475

Output
* energy relative to the lowest polymorph listed for this composition: 14.6 meV/atom
* DOS(E_F): 0.843 states/eV/atom
* electronic total energy: -3.057 eV per atom
* formation energy (no corrections): -0.792 eV/atom
* M_tot: 0.60 μB/cell

***

Density functional theory data (PBE) for a relaxed structure of InAgB2Sb.

Cell: 4.425 4.425 5.483 Å, 90.00 90.00 90.00°
Element x y z (fractional)
In 0.000 0.000 0.000
Ag 0.000 0.000 0.500
B 0.000 0.500 0.000
B 0.500 0.000 0.000
Sb 0.500 0.500 0.500

Output
* DOS(E_F): 0.561 states/eV/atom
* electronic total energy: -3.000 eV per atom
* formation energy (no corrections): 1.613 eV/atom
* M_tot: 0.00 μB/cell

***

Density functional theory data (PBE) for a relaxed structure of RbNaInI5.

Cell: 9.043 9.043 10.977 Å, 105.16 105.16 104.06°
Element x y z (fractional)
Rb 0.169 0.831 0.750
Rb 0.831 0.169 0.250
Na 0.500 0.500 0.000
Na 0.500 0.500 0.500
In 0.164 0.836 0.250
In 0.836 0.164 0.750
I 0.128 0.231 0.952
I 0.158 0.609 0.379
I 0.231 0.128 0.452
I 0.391 0.842 0.121
I 0.419 0.581 0.750
I 0.581 0.419 0.250
I 0.609 0.158 0.879
I 0.769 0.872 0.548
I 0.842 0.391 0.621
I 0.872 0.769 0.048

Output
* DOS(E_F): 0.000 states/eV/atom
* electronic total energy: -2.533 eV per atom
* formation energy (no corrections): -0.936 eV/atom
* M_tot: 0.00 μB/cell

***

Density functional theory data (PBE) for a relaxed structure of Na3Tl2HPd3.

Cell: 6.975 6.975 4.364 Å, 90.00 90.00 120.00°
Element x y z (fractional)
Na 0.000 0.330 0.000
Na 0.330 0.000 0.000
Na 0.670 0.670 0.000
Tl 0.333 0.667 0.500
Tl 0.667 0.333 0.500
H 0.000 0.000 0.000
Pd 0.000 0.772 0.500
Pd 0.228 0.228 0.500
Pd 0.772 0.000 0.500

Output
* DOS(E_F): 0.440 states/eV/atom
* electronic total energy: -3.056 eV per atom
* M_tot: 0.00 μB/cell

***

Density functional theory data (PBE) for a relaxed structure of Y2MgInH.

Cell: 4.822 4.822 4.519 Å, 90.00 90.00 90.00°
Element x y z (fractional)
Y 0.000 0.500 0.000
Y 0.500 0.000 0.000
Mg 0.000 0.000 0.500
In 0.500 0.500 0.500
H 0.000 0.000 0.000

Output
* energy relative to the lowest polymorph listed for this composition: 0.0 meV/atom
* DOS(E_F): 0.714 states/eV/atom
* electronic total energy: -4.477 eV per atom
* M_tot: 0.00 μB/cell